No. 1
# SiTcSN2 | Alexandria via LeMat-Bulk | GGA-PBE | relaxed
# Calculated density = 4.2 g/cm³
# Energy above the most stable polymorph in this dataset = 36 meV per atom
# Volume = 74 Å³/f.u.
data_SiTcSN2
_chemical_formula_sum 'Si1 Tc1 S1 N2'
_cell_length_a 3.4246
_cell_length_b 3.4246
_cell_length_c 6.3292
_cell_angle_alpha 90.00
_cell_angle_beta 90.00
_cell_angle_gamma 90.00
_symmetry_space_group_name_H-M 'P 4/m m m'
_symmetry_Int_Tables_number 123
_symmetry_space_group_name_Hall '-P 4 2'
loop_
_atom_site_label
_atom_site_fract_x
_atom_site_fract_y
_atom_site_fract_z
_atom_site_occupancy
Si1 0.0000 0.0000 0.0000 1
Tc1 0.5000 0.5000 0.5000 1
S1 0.0000 0.0000 0.5000 1
N1 0.0000 0.5000 0.0000 1

No. 2
# SiTcSN2 | Alexandria via LeMat-Bulk | GGA-PBE | relaxed
# Calculated density = 4.2 g/cm³
# Energy above the most stable polymorph in this dataset = 0 meV per atom
# Volume = 74 Å³/f.u.
data_SiTcSN2
_chemical_formula_sum 'Si1 Tc1 S1 N2'
_cell_length_a 3.8197
_cell_length_b 3.8197
_cell_length_c 5.0859
_cell_angle_alpha 90.00
_cell_angle_beta 90.00
_cell_angle_gamma 90.00
_symmetry_space_group_name_H-M 'P 4/m m m'
_symmetry_Int_Tables_number 123
_symmetry_space_group_name_Hall '-P 4 2'
loop_
_atom_site_label
_atom_site_fract_x
_atom_site_fract_y
_atom_site_fract_z
_atom_site_occupancy
Si1 0.0000 0.0000 0.0000 1
Tc1 0.5000 0.5000 0.5000 1
S1 0.5000 0.5000 0.0000 1
N1 0.0000 0.5000 0.5000 1

No. 3
# SiTeSN2 | Alexandria via LeMat-Bulk | GGA-PBE | relaxed
# Calculated density = 3.9 g/cm³
# Energy above the most stable polymorph in this dataset = 947 meV per atom
# Volume = 92 Å³/f.u.
data_SiTeSN2
_chemical_formula_sum 'Si1 Te1 S1 N2'
_cell_length_a 3.6262
_cell_length_b 3.6262
_cell_length_c 7.0189
_cell_angle_alpha 90.00
_cell_angle_beta 90.00
_cell_angle_gamma 90.00
_symmetry_space_group_name_H-M 'P 4/m m m'
_symmetry_Int_Tables_number 123
_symmetry_space_group_name_Hall '-P 4 2'
loop_
_atom_site_label
_atom_site_fract_x
_atom_site_fract_y
_atom_site_fract_z
_atom_site_occupancy
Si1 0.0000 0.0000 0.0000 1
Te1 0.5000 0.5000 0.0000 1
S1 0.5000 0.5000 0.5000 1
N1 0.0000 0.5000 0.5000 1

No. 4
# Si2TeSN | Alexandria via LeMat-Bulk | GGA-PBE | relaxed
# Calculated density = 4.1 g/cm³
# Volume = 92 Å³/f.u.
data_Si2TeSN
_chemical_formula_sum 'Si2 Te1 S1 N1'
_cell_length_a 4.0248
_cell_length_b 4.0248
_cell_length_c 5.6933
_cell_angle_alpha 90.00
_cell_angle_beta 90.00
_cell_angle_gamma 90.00
_symmetry_space_group_name_H-M 'P 4/m m m'
_symmetry_Int_Tables_number 123
_symmetry_space_group_name_Hall '-P 4 2'
loop_
_atom_site_label
_atom_site_fract_x
_atom_site_fract_y
_atom_site_fract_z
_atom_site_occupancy
Si1 0.0000 0.5000 0.0000 1
Te1 0.0000 0.0000 0.5000 1
S1 0.5000 0.5000 0.5000 1
N1 0.0000 0.0000 0.0000 1

No. 5
# SiTeS2N | Alexandria via LeMat-Bulk | GGA-PBE | relaxed
# Calculated density = 4.8 g/cm³
# Energy above the most stable polymorph in this dataset = 0 meV per atom
# Volume = 81 Å³/f.u.
data_SiTeS2N
_chemical_formula_sum 'Si1 Te1 S2 N1'
_cell_length_a 4.8814
_cell_length_b 4.8814
_cell_length_c 3.3916
_cell_angle_alpha 90.00
_cell_angle_beta 90.00
_cell_angle_gamma 90.00
_symmetry_space_group_name_H-M 'P 4/m m m'
_symmetry_Int_Tables_number 123
_symmetry_space_group_name_Hall '-P 4 2'
loop_
_atom_site_label
_atom_site_fract_x
_atom_site_fract_y
_atom_site_fract_z
_atom_site_occupancy
Si1 0.0000 0.0000 0.0000 1
Te1 0.5000 0.5000 0.5000 1
S1 0.0000 0.5000 0.0000 1
N1 0.0000 0.0000 0.5000 1

No. 6
# SiTeSN2 | Alexandria via LeMat-Bulk | GGA-PBE | relaxed
# Calculated density = 4.3 g/cm³
# Energy above the most stable polymorph in this dataset = 750 meV per atom
# Volume = 83 Å³/f.u.
data_SiTeSN2
_chemical_formula_sum 'Si1 Te1 S1 N2'
_cell_length_a 3.9523
_cell_length_b 3.9523
_cell_length_c 5.3271
_cell_angle_alpha 90.00
_cell_angle_beta 90.00
_cell_angle_gamma 90.00
_symmetry_space_group_name_H-M 'P 4/m m m'
_symmetry_Int_Tables_number 123
_symmetry_space_group_name_Hall '-P 4 2'
loop_
_atom_site_label
_atom_site_fract_x
_atom_site_fract_y
_atom_site_fract_z
_atom_site_occupancy
Si1 0.0000 0.0000 0.0000 1
Te1 0.5000 0.5000 0.5000 1
S1 0.5000 0.5000 0.0000 1
N1 0.0000 0.5000 0.5000 1

No. 7
# SiTeSN2 | Alexandria via LeMat-Bulk | GGA-PBE | relaxed
# Calculated density = 4.2 g/cm³
# Energy above the most stable polymorph in this dataset = 0 meV per atom
# Volume = 86 Å³/f.u.
data_SiTeSN2
_chemical_formula_sum 'Si1 Te1 S1 N2'
_cell_length_a 3.5641
_cell_length_b 3.5641
_cell_length_c 6.7743
_cell_angle_alpha 90.00
_cell_angle_beta 90.00
_cell_angle_gamma 90.00
_symmetry_space_group_name_H-M 'P 4/m m m'
_symmetry_Int_Tables_number 123
_symmetry_space_group_name_Hall '-P 4 2'
loop_
_atom_site_label
_atom_site_fract_x
_atom_site_fract_y
_atom_site_fract_z
_atom_site_occupancy
Si1 0.0000 0.0000 0.0000 1
Te1 0.0000 0.0000 0.5000 1
S1 0.5000 0.5000 0.5000 1
N1 0.0000 0.5000 0.0000 1

No. 8
# SiTeSN2 | Alexandria via LeMat-Bulk | GGA-PBE | relaxed
# Calculated density = 5.5 g/cm³
# Energy above the most stable polymorph in this dataset = 26 meV per atom
# Volume = 65 Å³/f.u.
data_SiTeSN2
_chemical_formula_sum 'Si1 Te1 S1 N2'
_cell_length_a 3.7279
_cell_length_b 3.7279
_cell_length_c 4.6997
_cell_angle_alpha 90.00
_cell_angle_beta 90.00
_cell_angle_gamma 90.00
_symmetry_space_group_name_H-M 'P 4/m m m'
_symmetry_Int_Tables_number 123
_symmetry_space_group_name_Hall '-P 4 2'
loop_
_atom_site_label
_atom_site_fract_x
_atom_site_fract_y
_atom_site_fract_z
_atom_site_occupancy
Si1 0.0000 0.0000 0.0000 1
Te1 0.5000 0.5000 0.5000 1
S1 0.0000 0.0000 0.5000 1
N1 0.0000 0.5000 0.0000 1

No. 9
# SiTeS2N | Alexandria via LeMat-Bulk | GGA-PBE | relaxed
# Calculated density = 3.8 g/cm³
# Energy above the most stable polymorph in this dataset = 812 meV per atom
# Volume = 102 Å³/f.u.
data_SiTeS2N
_chemical_formula_sum 'Si1 Te1 S2 N1'
_cell_length_a 5.1184
_cell_length_b 5.1184
_cell_length_c 3.9101
_cell_angle_alpha 90.00
_cell_angle_beta 90.00
_cell_angle_gamma 90.00
_symmetry_space_group_name_H-M 'P 4/m m m'
_symmetry_Int_Tables_number 123
_symmetry_space_group_name_Hall '-P 4 2'
loop_
_atom_site_label
_atom_site_fract_x
_atom_site_fract_y
_atom_site_fract_z
_atom_site_occupancy
Si1 0.0000 0.0000 0.0000 1
Te1 0.5000 0.5000 0.5000 1
S1 0.0000 0.5000 0.5000 1
N1 0.5000 0.5000 0.0000 1

No. 10
# TiSiS2N | Alexandria via LeMat-Bulk | GGA-PBE | relaxed
# Calculated density = 3.5 g/cm³
# Energy above the most stable polymorph in this dataset = 0 meV per atom
# Volume = 72 Å³/f.u.
data_TiSiS2N
_chemical_formula_sum 'Ti1 Si1 S2 N1'
_cell_length_a 4.6761
_cell_length_b 4.6761
_cell_length_c 3.3129
_cell_angle_alpha 90.00
_cell_angle_beta 90.00
_cell_angle_gamma 90.00
_symmetry_space_group_name_H-M 'P 4/m m m'
_symmetry_Int_Tables_number 123
_symmetry_space_group_name_Hall '-P 4 2'
loop_
_atom_site_label
_atom_site_fract_x
_atom_site_fract_y
_atom_site_fract_z
_atom_site_occupancy
Ti1 0.0000 0.0000 0.0000 1
Si1 0.5000 0.5000 0.5000 1
S1 0.0000 0.5000 0.5000 1
N1 0.5000 0.5000 0.0000 1

No. 11
# TiSiS2N | Alexandria via LeMat-Bulk | GGA-PBE | relaxed
# Calculated density = 2.9 g/cm³
# Energy above the most stable polymorph in this dataset = 154 meV per atom
# Volume = 88 Å³/f.u.
data_TiSiS2N
_chemical_formula_sum 'Ti1 Si1 S2 N1'
_cell_length_a 4.8339
_cell_length_b 4.8339
_cell_length_c 3.7646
_cell_angle_alpha 90.00
_cell_angle_beta 90.00
_cell_angle_gamma 90.00
_symmetry_space_group_name_H-M 'P 4/m m m'
_symmetry_Int_Tables_number 123
_symmetry_space_group_name_Hall '-P 4 2'
loop_
_atom_site_label
_atom_site_fract_x
_atom_site_fract_y
_atom_site_fract_z
_atom_site_occupancy
Ti1 0.0000 0.0000 0.0000 1
Si1 0.5000 0.5000 0.5000 1
S1 0.0000 0.5000 0.0000 1
N1 0.0000 0.0000 0.5000 1

No. 12
# YSiS2N | Alexandria via LeMat-Bulk | GGA-PBE | relaxed
# Calculated density = 2.7 g/cm³
# Energy above the most stable polymorph in this dataset = 1159 meV per atom
# Volume = 121 Å³/f.u.
data_YSiS2N
_chemical_formula_sum 'Y1 Si1 S2 N1'
_cell_length_a 5.2700
_cell_length_b 5.2700
_cell_length_c 4.3620
_cell_angle_alpha 90.00
_cell_angle_beta 90.00
_cell_angle_gamma 90.00
_symmetry_space_group_name_H-M 'P 4/m m m'
_symmetry_Int_Tables_number 123
_symmetry_space_group_name_Hall '-P 4 2'
loop_
_atom_site_label
_atom_site_fract_x
_atom_site_fract_y
_atom_site_fract_z
_atom_site_occupancy
Y1 0.0000 0.0000 0.0000 1
Si1 0.5000 0.5000 0.5000 1
S1 0.0000 0.5000 0.0000 1
N1 0.0000 0.0000 0.5000 1

No. 13
# YSiSN2 | Alexandria via LeMat-Bulk | GGA-PBE | relaxed
# Calculated density = 2.8 g/cm³
# Energy above the most stable polymorph in this dataset = 1467 meV per atom
# Volume = 105 Å³/f.u.
data_YSiSN2
_chemical_formula_sum 'Y1 Si1 S1 N2'
_cell_length_a 4.3969
_cell_length_b 4.3969
_cell_length_c 5.4149
_cell_angle_alpha 90.00
_cell_angle_beta 90.00
_cell_angle_gamma 90.00
_symmetry_space_group_name_H-M 'P 4/m m m'
_symmetry_Int_Tables_number 123
_symmetry_space_group_name_Hall '-P 4 2'
loop_
_atom_site_label
_atom_site_fract_x
_atom_site_fract_y
_atom_site_fract_z
_atom_site_occupancy
Y1 0.0000 0.0000 0.0000 1
Si1 0.5000 0.5000 0.5000 1
S1 0.0000 0.0000 0.5000 1
N1 0.0000 0.5000 0.0000 1

No. 14
# YSiSN2 | Alexandria via LeMat-Bulk | GGA-PBE | relaxed
# Calculated density = 4.5 g/cm³
# Energy above the most stable polymorph in this dataset = 0 meV per atom
# Volume = 65 Å³/f.u.
data_YSiSN2
_chemical_formula_sum 'Y1 Si1 S1 N2'
_cell_length_a 3.7125
_cell_length_b 3.7125
_cell_length_c 4.7346
_cell_angle_alpha 90.00
_cell_angle_beta 90.00
_cell_angle_gamma 90.00
_symmetry_space_group_name_H-M 'P 4/m m m'
_symmetry_Int_Tables_number 123
_symmetry_space_group_name_Hall '-P 4 2'
loop_
_atom_site_label
_atom_site_fract_x
_atom_site_fract_y
_atom_site_fract_z
_atom_site_occupancy
Y1 0.0000 0.0000 0.0000 1
Si1 0.5000 0.5000 0.5000 1
S1 0.5000 0.5000 0.0000 1
N1 0.0000 0.5000 0.5000 1

No. 15
# YSiS2N | Alexandria via LeMat-Bulk | GGA-PBE | relaxed
# Calculated density = 4.1 g/cm³
# Energy above the most stable polymorph in this dataset = 0 meV per atom
# Volume = 79 Å³/f.u.
data_YSiS2N
_chemical_formula_sum 'Y1 Si1 S2 N1'
_cell_length_a 4.7789
_cell_length_b 4.7789
_cell_length_c 3.4550
_cell_angle_alpha 90.00
_cell_angle_beta 90.00
_cell_angle_gamma 90.00
_symmetry_space_group_name_H-M 'P 4/m m m'
_symmetry_Int_Tables_number 123
_symmetry_space_group_name_Hall '-P 4 2'
loop_
_atom_site_label
_atom_site_fract_x
_atom_site_fract_y
_atom_site_fract_z
_atom_site_occupancy
Y1 0.0000 0.0000 0.0000 1
Si1 0.5000 0.5000 0.5000 1
S1 0.0000 0.5000 0.5000 1
N1 0.5000 0.5000 0.0000 1

No. 16
# ZnSiSN2 | Alexandria via LeMat-Bulk | GGA-PBE | relaxed
# Calculated density = 3.9 g/cm³
# Energy above the most stable polymorph in this dataset = 1286 meV per atom
# Volume = 65 Å³/f.u.
data_ZnSiSN2
_chemical_formula_sum 'Zn1 Si1 S1 N2'
_cell_length_a 3.5678
_cell_length_b 3.5678
_cell_length_c 5.0955
_cell_angle_alpha 90.00
_cell_angle_beta 90.00
_cell_angle_gamma 90.00
_symmetry_space_group_name_H-M 'P 4/m m m'
_symmetry_Int_Tables_number 123
_symmetry_space_group_name_Hall '-P 4 2'
loop_
_atom_site_label
_atom_site_fract_x
_atom_site_fract_y
_atom_site_fract_z
_atom_site_occupancy
Zn1 0.0000 0.0000 0.0000 1
Si1 0.5000 0.5000 0.0000 1
S1 0.0000 0.0000 0.5000 1
N1 0.0000 0.5000 0.5000 1

No. 17
# ZnSiSN2 | Alexandria via LeMat-Bulk | GGA-PBE | relaxed
# Calculated density = 3.3 g/cm³
# Energy above the most stable polymorph in this dataset = 1247 meV per atom
# Volume = 78 Å³/f.u.
data_ZnSiSN2
_chemical_formula_sum 'Zn1 Si1 S1 N2'
_cell_length_a 3.8297
_cell_length_b 3.8297
_cell_length_c 5.3322
_cell_angle_alpha 90.00
_cell_angle_beta 90.00
_cell_angle_gamma 90.00
_symmetry_space_group_name_H-M 'P 4/m m m'
_symmetry_Int_Tables_number 123
_symmetry_space_group_name_Hall '-P 4 2'
loop_
_atom_site_label
_atom_site_fract_x
_atom_site_fract_y
_atom_site_fract_z
_atom_site_occupancy
Zn1 0.0000 0.0000 0.0000 1
Si1 0.5000 0.5000 0.5000 1
S1 0.0000 0.0000 0.5000 1
N1 0.0000 0.5000 0.0000 1

No. 18
# ZnSiSN2 | Alexandria via LeMat-Bulk | GGA-PBE | relaxed
# Calculated density = 3.5 g/cm³
# Energy above the most stable polymorph in this dataset = 0 meV per atom
# Volume = 73 Å³/f.u.
data_ZnSiSN2
_chemical_formula_sum 'Zn1 Si1 S1 N2'
_cell_length_a 3.4135
_cell_length_b 3.4135
_cell_length_c 6.2794
_cell_angle_alpha 90.00
_cell_angle_beta 90.00
_cell_angle_gamma 90.00
_symmetry_space_group_name_H-M 'P 4/m m m'
_symmetry_Int_Tables_number 123
_symmetry_space_group_name_Hall '-P 4 2'
loop_
_atom_site_label
_atom_site_fract_x
_atom_site_fract_y
_atom_site_fract_z
_atom_site_occupancy
Zn1 0.0000 0.0000 0.0000 1
Si1 0.5000 0.5000 0.5000 1
S1 0.5000 0.5000 0.0000 1
N1 0.0000 0.5000 0.5000 1

No. 19
# ZrSiS2N | Alexandria via LeMat-Bulk | GGA-PBE | relaxed
# Calculated density = 3.1 g/cm³
# Energy above the most stable polymorph in this dataset = 484 meV per atom
# Volume = 105 Å³/f.u.
data_ZrSiS2N
_chemical_formula_sum 'Zr1 Si1 S2 N1'
_cell_length_a 5.0795
_cell_length_b 5.0795
_cell_length_c 4.0569
_cell_angle_alpha 90.00
_cell_angle_beta 90.00
_cell_angle_gamma 90.00
_symmetry_space_group_name_H-M 'P 4/m m m'
_symmetry_Int_Tables_number 123
_symmetry_space_group_name_Hall '-P 4 2'
loop_
_atom_site_label
_atom_site_fract_x
_atom_site_fract_y
_atom_site_fract_z
_atom_site_occupancy
Zr1 0.0000 0.0000 0.0000 1
Si1 0.5000 0.5000 0.5000 1
S1 0.0000 0.5000 0.0000 1
N1 0.0000 0.0000 0.5000 1

No. 20
# ZrSiS2N | Alexandria via LeMat-Bulk | GGA-PBE | relaxed
# Calculated density = 4.4 g/cm³
# Energy above the most stable polymorph in this dataset = 0 meV per atom
# Volume = 75 Å³/f.u.
data_ZrSiS2N
_chemical_formula_sum 'Zr1 Si1 S2 N1'
_cell_length_a 4.7447
_cell_length_b 4.7447
_cell_length_c 3.3306
_cell_angle_alpha 90.00
_cell_angle_beta 90.00
_cell_angle_gamma 90.00
_symmetry_space_group_name_H-M 'P 4/m m m'
_symmetry_Int_Tables_number 123
_symmetry_space_group_name_Hall '-P 4 2'
loop_
_atom_site_label
_atom_site_fract_x
_atom_site_fract_y
_atom_site_fract_z
_atom_site_occupancy
Zr1 0.0000 0.0000 0.0000 1
Si1 0.5000 0.5000 0.5000 1
S1 0.0000 0.5000 0.5000 1
N1 0.5000 0.5000 0.0000 1

Table of DOS(E_F) (states/eV/atom), in record order: 0.6291 0.7108 0.4768 0.6906 0.7506 0.5238 0.6319 0.3242 0.1821 0.5030 0.3703 0.2414 0.4533 0.2478 0.2553 0.3164 0.3717 0.2580 0.4857 0.1955
Table of energy relative to the elements, uncorrected (eV/atom), in record order: 0.7363 0.7001 1.6416 0.9426 0.3135 1.4451 0.6951 0.7209 1.1257 -0.0684 0.0856 0.4142 0.9640 -0.5027 -0.7450 1.5898 1.5505 0.3040 0.1440 -0.3397
Table of energy (eV/atom), in record order: -6.58 -6.61 -4.23 -4.35 -4.72 -4.42 -5.17 -5.15 -3.90 -6.05 -5.89 -5.28 -5.57 -7.04 -6.44 -3.91 -3.94 -5.19 -5.97 -6.45